# 1
! Zr2BIr PBE relaxed; values from VASP
! Space-group type ... I-42d
! Energy relative to the elements ... 35 meV per atom
&SYSTEM
  ibrav = 0, nat = 8, ntyp = 3
/
ATOMIC_SPECIES
B 10.81 B.upf
Ir 192.22 Ir.upf
Zr 91.22 Zr.upf
ATOMIC_POSITIONS crystal
B 0.500 0.500 0.000
B 0.250 0.750 0.500
Ir 0.000 0.000 0.000
Ir 0.750 0.250 0.500
Zr 0.586 0.125 0.250
Zr 0.164 0.625 0.250
Zr 0.375 0.414 0.750
Zr 0.875 0.836 0.750
CELL_PARAMETERS angstrom
-2.980 5.205 -2.875
-1.394 -3.738 -5.322
-5.040 -0.146 -2.734

# 2
! Tb5Hg2Rh2 PBE relaxed; values from VASP
! Space-group type ... Cmce
! Energy relative to the elements ... -627 meV per atom
&SYSTEM
  ibrav = 0, nat = 18, ntyp = 3
/
ATOMIC_SPECIES
Tb 158.93 Tb.upf
Hg 200.59 Hg.upf
Rh 102.91 Rh.upf
ATOMIC_POSITIONS crystal
Tb 0.000 0.000 0.000
Tb 0.500 0.500 0.000
Tb 0.829 0.793 0.245
Tb 0.171 0.452 0.245
Tb 0.329 0.952 0.245
Tb 0.671 0.293 0.245
Tb 0.171 0.207 0.755
Tb 0.829 0.548 0.755
Tb 0.671 0.048 0.755
Tb 0.329 0.707 0.755
Hg 0.000 0.214 0.428
Hg 0.500 0.714 0.428
Hg 0.000 0.786 0.572
Hg 0.500 0.286 0.572
Rh 0.634 0.868 0.000
Rh 0.366 0.132 0.000
Rh 0.134 0.632 0.000
Rh 0.866 0.368 0.000
CELL_PARAMETERS angstrom
7.710 0.000 0.000
0.000 7.480 0.000
0.000 -3.740 7.927

no.,spin magnetization (μB per atom),total DFT energy (no corrections) (eV for the cell shown)
1,0.00,-64.99
2,0.00,-88.20